Below is a geometry-optimized LaFeO2 structure, with properties calculated at the GGA+U level.

Summary:
total energy: -28.05 eV per formula unit

```
data_LaFeO2
_chemical_formula_sum 'La4 Fe4 O8'
_cell_length_a 5.910
_cell_length_b 5.910
_cell_length_c 5.910
_cell_angle_alpha 90.00
_cell_angle_beta 90.00
_cell_angle_gamma 90.00
_symmetry_space_group_name_H-M 'F m -3 m'
_symmetry_Int_Tables_number 225
_symmetry_space_group_name_Hall '-F 4 2 3'
loop_
_atom_site_label
_atom_site_type_symbol
_atom_site_fract_x
_atom_site_fract_y
_atom_site_fract_z
La1 La 0.000 0.000 0.000
Fe1 Fe 0.000 0.000 0.500
O1 O 0.250 0.250 0.250
```